The following is a GGA-PBEsol calculation of a relaxed Sc3SnBr crystal, from Alexandria.

Cell lengths 4.8904, 4.8904, 4.8904 Å; angles 90.00, 90.00, 90.00 degrees
Last column: nearest neighbours and their distance in Å.
Sites, in units of the cell vectors:
Sc 0.0000 0.5000 0.0000  2 Br 2.45
Sc 0.0000 0.0000 0.5000  2 Br 2.45
Sc 0.5000 0.0000 0.0000  2 Br 2.45
Sn 0.5000 0.5000 0.5000  12 Sc 3.46
Br 0.0000 0.0000 0.0000  6 Sc 2.45

Crystal system: cubic
Mass density, g/cm3: 4.73
E, eV per atom: -5.48
Raw formation energy, kJ/mol of atoms: -27.8
Space-group type: No. 221